No. 1
Computed, not measured: Sr3PmTh2As6 after structural relaxation at the PBE level of DFT.

a b c (Å): 7.553 7.553 7.638
angles (deg): 99.49 99.49 120.02
Fractional positions:
Sr  0.834  0.166  0.500
Sr  0.166  0.834  0.500
Sr  0.500  0.500  0.500
As  0.588  0.924  0.772
As  0.260  0.260  0.772
As  0.412  0.076  0.228
As  0.076  0.412  0.228
As  0.740  0.740  0.228
As  0.924  0.588  0.772
Th  0.667  0.333  0.000
Th  0.333  0.667  0.000
Pm  0.000  0.000  0.000

Fermi-level density of states   9.95 states/eV/f.u.
Energy relative to the elements   -15.62 eV/f.u.
Spin magnetization   0.0 μB per formula unit

=====

No. 2
Computed, not measured: SrPmTh2As4 after structural relaxation at the PBE level of DFT.

a b c (Å): 4.299 7.444 7.463
angles (deg): 70.60 90.00 90.00
Fractional positions:
Pm  0.000  0.500  0.500
As  0.000  0.763  0.740
As  0.000  0.237  0.260
As  0.500  0.756  0.253
As  0.500  0.244  0.747
Th  0.500  0.000  0.500
Th  0.000  0.000  0.000
Sr  0.500  0.500  0.000

Fermi-level density of states   1.72 states/eV/f.u.
Energy relative to the elements   -11.30 eV/f.u.
Spin magnetization   0.0 μB per formula unit

=====

No. 3
Computed, not measured: Sr4PmTh3As8 after structural relaxation at the PBE level of DFT.

a b c (Å): 8.725 8.793 8.725
angles (deg): 119.75 120.00 90.00
Fractional positions:
As  0.740  0.728  0.984
As  0.742  0.727  0.485
As  0.756  0.272  0.513
As  0.244  0.728  0.487
As  0.260  0.272  0.016
As  0.258  0.273  0.515
As  0.244  0.728  0.984
As  0.756  0.272  0.016
Sr  0.500  0.000  0.000
Sr  0.000  0.000  0.500
Sr  0.500  0.000  0.500
Sr  0.000  0.000  0.000
Th  0.000  0.500  0.500
Th  0.500  0.500  0.000
Th  0.500  0.500  0.500
Pm  0.000  0.500  0.000

Fermi-level density of states   10.89 states/eV/f.u.
Energy relative to the elements   -21.07 eV/f.u.
Spin magnetization   0.0 μB per formula unit

=====

No. 4
Computed, not measured: SrPm2TmAs4 after structural relaxation at the PBE level of DFT.

a b c (Å): 4.240 7.342 7.393
angles (deg): 70.64 90.00 90.00
Fractional positions:
As  0.500  0.747  0.262
As  0.500  0.253  0.738
As  0.000  0.244  0.264
As  0.000  0.756  0.736
Tm  0.000  0.500  0.500
Pm  0.000  0.000  0.000
Pm  0.500  0.000  0.500
Sr  0.500  0.500  0.000

Fermi-level density of states   4.48 states/eV/f.u.
Energy relative to the elements   -10.58 eV/f.u.
Spin magnetization   0.0 μB per formula unit

=====

No. 5
Computed, not measured: SrPm2UAs4 after structural relaxation at the PBE level of DFT.

a b c (Å): 5.999 5.999 7.354
angles (deg): 114.07 114.07 90.00
Fractional positions:
As  0.756  0.756  0.512
As  0.513  0.013  0.027
As  0.987  0.487  0.973
As  0.244  0.244  0.488
U  0.750  0.250  0.500
Sr  0.500  0.500  0.000
Pm  0.000  0.000  0.000
Pm  0.250  0.750  0.500

Fermi-level density of states   8.48 states/eV/f.u.
Energy relative to the elements   -9.50 eV/f.u.
Spin magnetization   1.9 μB per formula unit

=====

No. 6
Computed, not measured: Sr3Pm2ZrAs6 after structural relaxation at the PBE level of DFT.

a b c (Å): 7.334 7.334 7.605
angles (deg): 99.28 99.28 120.07
Fractional positions:
Pm  0.334  0.666  0.000
Pm  0.666  0.334  0.000
As  0.610  0.926  0.778
As  0.390  0.074  0.222
As  0.240  0.240  0.776
As  0.926  0.610  0.778
As  0.760  0.760  0.224
As  0.074  0.390  0.222
Sr  0.829  0.171  0.500
Sr  0.171  0.829  0.500
Sr  0.500  0.500  0.500
Zr  0.000  0.000  0.000

Fermi-level density of states   8.40 states/eV/f.u.
Energy relative to the elements   -14.07 eV/f.u.
Spin magnetization   0.0 μB per formula unit

=====

No. 7
Computed, not measured: PmTaAs after structural relaxation at the PBE level of DFT.

a b c (Å): 3.806 5.512 7.458
angles (deg): 101.35 90.00 110.20
Fractional positions:
Pm  0.608  0.217  0.810
Pm  0.392  0.783  0.190
Ta  0.134  0.267  0.459
Ta  0.866  0.733  0.541
As  0.322  0.645  0.773
As  0.678  0.355  0.227

Fermi-level density of states   1.57 states/eV/f.u.
Energy relative to the elements   -1.73 eV/f.u.
Spin magnetization   0.0 μB per formula unit

=====

No. 8
Computed, not measured: Pm2TaAs after structural relaxation at the PBE level of DFT.

a b c (Å): 3.945 4.931 4.931
angles (deg): 90.00 90.00 90.00
Fractional positions:
As  0.500  0.500  0.500
Pm  0.000  0.000  0.500
Pm  0.000  0.500  0.000
Ta  0.500  0.000  0.000

Fermi-level density of states   5.81 states/eV/f.u.
Energy relative to the elements   -0.32 eV/f.u.
Spin magnetization   0.0 μB per formula unit

=====

> Among the records above, which one has the highest Fermi-level density of states?

Sr4PmTh3As8

=====

> What is the energy relative to the elements in the third record?

-21.07 eV/f.u.

=====

Repeat the sixth record exactly.
Computed, not measured: Sr3Pm2ZrAs6 after structural relaxation at the PBE level of DFT.

a b c (Å): 7.334 7.334 7.605
angles (deg): 99.28 99.28 120.07
Fractional positions:
Pm  0.334  0.666  0.000
Pm  0.666  0.334  0.000
As  0.610  0.926  0.778
As  0.390  0.074  0.222
As  0.240  0.240  0.776
As  0.926  0.610  0.778
As  0.760  0.760  0.224
As  0.074  0.390  0.222
Sr  0.829  0.171  0.500
Sr  0.171  0.829  0.500
Sr  0.500  0.500  0.500
Zr  0.000  0.000  0.000

Fermi-level density of states   8.40 states/eV/f.u.
Energy relative to the elements   -14.07 eV/f.u.
Spin magnetization   0.0 μB per formula unit